Li2TlHgP (GGA-PBE, relaxed); total moment = 0.000 μB/f.u.; symmetry = P4/mmm, No. 123; energy of formation = -0.22 eV per atom
1.0
4.777 0.000 0.000
0.000 4.777 0.000
0.000 0.000 5.457
Li Tl Hg P
2 1 1 1
Cartesian
0.000 2.389 0.000
2.389 0.000 0.000
0.000 0.000 2.728
2.389 2.389 2.728
0.000 0.000 0.000


Li2ZnHgP (GGA-PBE, relaxed); total moment = 0.000 μB/f.u.; symmetry = P4/mmm, No. 123; energy of formation = -0.25 eV per atom
1.0
4.784 0.000 0.000
0.000 4.784 0.000
0.000 0.000 4.661
Li Zn Hg P
2 1 1 1
Cartesian
0.000 2.392 0.000
2.392 0.000 0.000
0.000 0.000 2.330
2.392 2.392 2.330
0.000 0.000 0.000


Li2PaHg6 (GGA-PBE, relaxed); total moment = 0.681 μB/f.u.; symmetry = C2/m, No. 12; energy of formation = -0.13 eV per atom
1.0
7.468 -4.307 0.000
7.468 4.307 0.000
-0.658 0.000 3.111
Li Pa Hg
2 1 6
Cartesian
2.096 0.000 0.426
12.182 0.000 2.685
7.468 0.000 0.000
4.630 1.485 1.009
7.139 2.895 1.555
4.630 -1.485 1.009
9.648 1.485 2.101
7.139 -2.895 1.555
9.648 -1.485 2.101


Li2PaHg (GGA-PBE, relaxed); total moment = 0.043 μB/f.u.; symmetry = R-3m, No. 166; energy of formation = 0.11 eV per atom
1.0
1.533 0.885 10.752
-1.533 0.885 10.752
0.000 -1.771 10.752
Li Pa Hg
2 1 1
Cartesian
0.000 0.000 3.052
0.000 0.000 29.204
0.000 0.000 0.000
0.000 0.000 16.128


LiPaHg4 (GGA-PBE, relaxed); total moment = 1.147 μB/f.u.; symmetry = C2/m, No. 12; energy of formation = -0.06 eV per atom
1.0
5.215 -1.672 0.000
5.215 1.672 0.000
-3.106 0.000 7.821
Li Pa Hg
1 1 4
Cartesian
0.000 0.000 0.000
-1.553 0.000 3.910
1.345 0.000 5.398
3.083 0.000 1.178
4.241 0.000 6.643
5.979 0.000 2.423


LiPaHgPt (GGA-PBE, relaxed); total moment = 0.009 μB/f.u.; symmetry = F-43m, No. 216; energy of formation = -0.34 eV per atom
1.0
0.000 3.460 3.460
3.460 0.000 3.460
3.460 3.460 0.000
Li Pa Hg Pt
1 1 1 1
Cartesian
0.000 0.000 0.000
3.460 3.460 3.460
1.730 1.730 1.730
5.190 5.190 5.190


| no. | calculated total energy (eV per cell) |
| --- | --- |
| 1 | -13.02 |
| 2 | -12.05 |
| 3 | -16.33 |
| 4 | -13.17 |
| 5 | -12.97 |
| 6 | -19.11 |